An optimized crystal structure of Ca2NiBiO6. Source: Alexandria, functional GGA+U.

Cell: 5.682 5.682 5.682 Å, 60.00 60.00 60.00°
Last column: magnetic moment on the atom in μB.
Positions (direct):
O 0.258 0.258 0.742  -0.07
Ca 0.250 0.250 0.250  0.00
Ca 0.750 0.750 0.750  0.00
O 0.258 0.742 0.258  -0.07
Bi 0.000 0.000 0.000  0.04
Ni 0.500 0.500 0.500  1.40
O 0.742 0.742 0.258  -0.07
O 0.742 0.258 0.742  -0.07
O 0.742 0.258 0.258  -0.07
O 0.258 0.742 0.742  -0.07

Results
Energy   -5.5207 eV/atom